[1]
NiB: relaxed, PBE.

For the density of states at the Fermi level, the calculation gives 0.86 states/eV per cell. The value obtained for the formation energy is 0.353 eV/f.u.

Cell: 3.4417 3.4417 3.4417 Å, 42.38 42.38 42.38°
Closest atoms and distances in Å follow each position.
Fractional coordinates of all 2 atoms:
Ni 0.0000 0.0000 0.0000  6 B 2.12
B 0.5000 0.5000 0.5000  6 Ni 2.12

[2]
TbEr6Tm3: relaxed, PBE.

For the density of states at the Fermi level, the calculation gives 29.34 states/eV per cell. The value obtained for the formation energy is 1.257 eV/f.u. For the distance to the lowest polymorph of the same formula, the calculation gives 0.0000 eV/atom.

Cell: 11.3464 11.3464 6.2797 Å, 90.00 90.00 130.52°
Closest atoms and distances in Å follow each position.
Fractional coordinates of all 20 atoms:
Tb 0.1620 0.8380 0.5000  6 Er 3.21-3.57, 2 Tm 3.47
Tb 0.8380 0.1620 0.0000  6 Er 3.21-3.57, 2 Tm 3.47
Er 0.0153 0.9847 0.6954  4 Er 3.20-3.53, 1 Tb 3.26, 4 Tm 3.48-3.50
Er 0.1042 0.5424 0.1860  2 Tm 3.22-3.35, 3 Er 3.35-3.52, 2 Tb 3.49-3.57
Er 0.2589 0.3785 0.9451  3 Tm 3.29-3.47, 4 Er 3.44-3.61
Er 0.3012 0.6988 0.7297  1 Tm 3.11, 1 Tb 3.21, 2 Er 3.35
Er 0.3785 0.2589 0.4451  3 Tm 3.29-3.47, 4 Er 3.44-3.61
Er 0.4576 0.8958 0.1860  2 Tm 3.22-3.35, 3 Er 3.35-3.52, 2 Tb 3.49-3.57
Er 0.5424 0.1042 0.6860  2 Tm 3.22-3.35, 3 Er 3.35-3.52, 2 Tb 3.49-3.57
Er 0.6215 0.7411 0.9451  3 Tm 3.29-3.47, 4 Er 3.44-3.61
Er 0.6988 0.3012 0.2297  1 Tm 3.11, 1 Tb 3.21, 2 Er 3.35
Er 0.7411 0.6215 0.4451  3 Tm 3.29-3.47, 4 Er 3.44-3.61
Er 0.8958 0.4576 0.6860  2 Tm 3.22-3.35, 3 Er 3.35-3.52, 2 Tb 3.49-3.57
Er 0.9847 0.0153 0.1954  4 Er 3.20-3.53, 1 Tb 3.26, 4 Tm 3.48-3.50
Tm 0.0430 0.2954 0.5252  2 Tm 3.21-3.34, 5 Er 3.22-3.50, 1 Tb 3.47
Tm 0.2954 0.0430 0.0252  2 Tm 3.21-3.34, 5 Er 3.22-3.50, 1 Tb 3.47
Tm 0.4189 0.5811 0.4195  5 Er 3.11-3.47, 2 Tm 3.34
Tm 0.5811 0.4189 0.9195  5 Er 3.11-3.47, 2 Tm 3.34
Tm 0.7046 0.9570 0.5252  2 Tm 3.21-3.34, 5 Er 3.22-3.50, 1 Tb 3.47
Tm 0.9570 0.7046 0.0252  2 Tm 3.21-3.34, 5 Er 3.22-3.50, 1 Tb 3.47

[3]
K2SiRu: relaxed, PBE.

Its formation energy from raw total energies is 0.90 eV per atom. For the density of states at the Fermi level, the calculation gives 2.15 states/eV per cell.

Cell: 6.1158 6.1158 3.1011 Å, 90.00 90.00 128.93°
Closest atoms and distances in Å follow each position.
Fractional coordinates of all 4 atoms:
K 0.0000 0.5000 0.0000  2 K 2.64
K 0.5000 0.0000 0.0000  2 K 2.64
Si 0.0000 0.0000 0.5000  2 Ru 2.64
Ru 0.5000 0.5000 0.5000  2 Si 2.64

[4]
SeI: relaxed, PBE.

Its formation energy from raw total energies is 0.03 eV per atom.

Cell: 8.3501 9.4991 10.6618 Å, 90.00 90.00 90.00°
Closest atoms and distances in Å follow each position.
Fractional coordinates of all 16 atoms:
Se 0.1215 0.2330 0.0897  1 Se 2.29
Se 0.2116 0.7337 0.7576  1 Se 2.29
Se 0.2884 0.2663 0.2576  1 Se 2.29
Se 0.3785 0.7670 0.5897  1 Se 2.29
Se 0.6215 0.2670 0.9103  1 Se 2.29
Se 0.7116 0.7663 0.2424  1 Se 2.29
Se 0.7884 0.2337 0.7424  1 Se 2.29
Se 0.8785 0.7330 0.4103  1 Se 2.29
I 0.0315 0.9640 0.7783  1 Se 2.66
I 0.1502 0.6394 0.3189  1 Se 2.62
I 0.3498 0.3606 0.8189  1 Se 2.62
I 0.4685 0.0360 0.2783  1 Se 2.66
I 0.5315 0.5360 0.2217  1 Se 2.66
I 0.6502 0.8606 0.6811  1 Se 2.62
I 0.8498 0.1394 0.1811  1 Se 2.62
I 0.9685 0.4640 0.7217  1 Se 2.66

[5]
LaIn2Rh: relaxed, PBE.

For the density of states at the Fermi level, the calculation gives 3.90 states/eV per cell. The value obtained for the formation energy is -1.690 eV/f.u.

Cell: 3.4228 3.4228 7.8057 Å, 90.00 90.00 90.00°
Closest atoms and distances in Å follow each position.
Fractional coordinates of all 4 atoms:
La 0.0000 0.0000 0.0000  8 In 3.41, 4 La 3.42
In 0.5000 0.5000 0.3072  4 Rh 2.85, 1 In 3.01
In 0.5000 0.5000 0.6928  4 Rh 2.85, 1 In 3.01
Rh 0.0000 0.0000 0.5000  8 In 2.85

[6]
Hg2W3: relaxed, PBE.

For the density of states at the Fermi level, the calculation gives 5.61 states/eV per cell. The value obtained for the formation energy is 4.096 eV/f.u. For the distance to the lowest polymorph of the same formula, the calculation gives 0.0290 eV/atom.

Cell: 7.3943 5.5993 8.3728 Å, 60.07 41.02 78.91°
Closest atoms and distances in Å follow each position.
Fractional coordinates of all 10 atoms:
Hg 0.2457 0.7543 0.3556  9 W 2.88-3.14
Hg 0.6056 0.8944 0.4957  9 W 2.88-3.14
Hg 0.7543 0.2457 0.6444  9 W 2.88-3.14
Hg 0.8944 0.6056 0.0043  9 W 2.88-3.14
W 0.1592 0.8498 0.0448  1 W 2.51
W 0.2052 0.3038 0.0908  1 W 2.51
W 0.3038 0.2052 0.4002  1 W 2.51
W 0.3638 0.3638 0.6362  2 W 2.51
W 0.6138 0.6138 0.8862  2 W 2.51
W 0.8498 0.1592 0.9462  1 W 2.51

[7]
Ti2Re3: relaxed, PBE.

For the density of states at the Fermi level, the calculation gives 7.80 states/eV per cell. The value obtained for the formation energy is -1.626 eV/f.u.

Cell: 3.0990 3.0990 15.7252 Å, 90.00 90.00 90.00°
Closest atoms and distances in Å follow each position.
Fractional coordinates of all 10 atoms:
Ti 0.0000 0.0000 0.0997  8 Re 2.69-2.71
Ti 0.0000 0.0000 0.2973  8 Re 2.67-2.72
Ti 0.0000 0.0000 0.7027  8 Re 2.67-2.72
Ti 0.0000 0.0000 0.9003  8 Re 2.69-2.71
Re 0.0000 0.0000 0.5000  8 Re 2.70
Re 0.5000 0.5000 0.0000  8 Ti 2.69
Re 0.5000 0.5000 0.2008  8 Ti 2.67-2.71
Re 0.5000 0.5000 0.3995  4 Re 2.70, 4 Ti 2.72
Re 0.5000 0.5000 0.6005  4 Re 2.70, 4 Ti 2.72
Re 0.5000 0.5000 0.7992  8 Ti 2.67-2.71

[8]
Tb4PmZn5: relaxed, PBE.

For the density of states at the Fermi level, the calculation gives 11.73 states/eV per cell. The value obtained for the formation energy is -3.314 eV/f.u.

Cell: 3.5975 3.5975 17.9857 Å, 90.00 90.00 90.00°
Closest atoms and distances in Å follow each position.
Fractional coordinates of all 10 atoms:
Tb 0.0000 0.0000 0.0988  8 Zn 3.10-3.11
Tb 0.0000 0.0000 0.2970  8 Zn 3.09-3.10
Tb 0.0000 0.0000 0.7030  8 Zn 3.09-3.10
Tb 0.0000 0.0000 0.9012  8 Zn 3.10-3.11
Pm 0.0000 0.0000 0.5000  8 Zn 3.18
Zn 0.5000 0.5000 0.0000  8 Tb 3.10
Zn 0.5000 0.5000 0.1983  8 Tb 3.10-3.11
Zn 0.5000 0.5000 0.3944  4 Tb 3.09, 4 Pm 3.18
Zn 0.5000 0.5000 0.6056  4 Tb 3.09, 4 Pm 3.18
Zn 0.5000 0.5000 0.8017  8 Tb 3.10-3.11

[9]
ReMoRh2Br: relaxed, PBE.

Its formation energy from raw total energies is 1.80 eV per atom. For the density of states at the Fermi level, the calculation gives 4.61 states/eV per cell.

Cell: 4.7552 4.7552 4.7459 Å, 90.00 90.00 90.00°
Closest atoms and distances in Å follow each position.
Fractional coordinates of all 5 atoms:
Re 0.0000 0.0000 0.0000  8 Rh 3.36, 4 Br 3.36
Mo 0.5000 0.5000 0.5000  2 Br 2.37, 4 Rh 2.38
Rh 0.0000 0.5000 0.5000  2 Mo 2.38
Rh 0.5000 0.0000 0.5000  2 Mo 2.38
Br 0.5000 0.5000 0.0000  2 Mo 2.37

[10]
PmSm3Cd3: relaxed, PBE.

For the density of states at the Fermi level, the calculation gives 18.87 states/eV per cell. The value obtained for the formation energy is -1.076 eV/f.u.

Cell: 7.6653 7.6653 7.1754 Å, 90.00 90.00 90.19°
Closest atoms and distances in Å follow each position.
Fractional coordinates of all 14 atoms:
Pm 0.2397 0.2397 0.0000  6 Cd 3.26-3.34, 2 Sm 3.59
Pm 0.7603 0.7603 0.0000  6 Cd 3.26-3.34, 2 Sm 3.59
Sm 0.2407 0.2407 0.5000  6 Cd 3.25-3.33, 2 Pm 3.59
Sm 0.2416 0.7584 0.0000  6 Cd 3.25-3.33, 2 Sm 3.59
Sm 0.2427 0.7573 0.5000  6 Cd 3.24-3.32, 2 Sm 3.59
Sm 0.7573 0.2427 0.5000  6 Cd 3.24-3.32, 2 Sm 3.59
Sm 0.7584 0.2416 0.0000  6 Cd 3.25-3.33, 2 Sm 3.59
Sm 0.7593 0.7593 0.5000  6 Cd 3.25-3.33, 2 Pm 3.59
Cd 0.0000 0.5000 0.2507  6 Sm 3.24-3.25, 2 Pm 3.26, 2 Cd 3.58-3.60
Cd 0.0000 0.5000 0.7493  6 Sm 3.24-3.25, 2 Pm 3.26, 2 Cd 3.58-3.60
Cd 0.5000 0.0000 0.2507  6 Sm 3.24-3.25, 2 Pm 3.26, 2 Cd 3.58-3.60
Cd 0.5000 0.0000 0.7493  6 Sm 3.24-3.25, 2 Pm 3.26, 2 Cd 3.58-3.60
Cd 0.5000 0.5000 0.2494  6 Sm 3.32-3.33, 2 Pm 3.34, 2 Cd 3.58-3.60
Cd 0.5000 0.5000 0.7506  6 Sm 3.32-3.33, 2 Pm 3.34, 2 Cd 3.58-3.60

[11]
HoAg2Br5: relaxed, PBE.

Its formation energy from raw total energies is -1.05 eV per atom. For the density of states at the Fermi level, the calculation gives 0.00 states/eV per cell.

Cell: 5.6589 7.5257 7.6155 Å, 83.00 69.19 69.28°
Closest atoms and distances in Å follow each position.
Fractional coordinates of all 8 atoms:
Ho 0.0000 0.0000 0.0000  6 Br 2.78-2.84
Ag 0.4990 0.5217 0.9573  2 Br 2.56-2.58
Ag 0.5120 0.9974 0.4968  2 Br 2.53-2.54
Br 0.0462 0.6720 0.2171  1 Ag 2.58, 1 Ho 2.78
Br 0.2712 0.7667 0.6728  1 Ag 2.54, 1 Ho 2.84
Br 0.5089 0.9953 0.9902  2 Ho 2.82-2.84
Br 0.7438 0.2303 0.3179  1 Ag 2.53, 1 Ho 2.78
Br 0.9782 0.3204 0.7695  1 Ag 2.56, 1 Ho 2.80

[12]
LaCdCl2: relaxed, PBE.

Its formation energy from raw total energies is -1.34 eV per atom. For the density of states at the Fermi level, the calculation gives 2.43 states/eV per cell. For the distance to the lowest polymorph of the same formula, the calculation gives 0.0883 eV/atom.

Cell: 6.5281 6.5281 6.0133 Å, 117.28 117.28 34.69°
Closest atoms and distances in Å follow each position.
Fractional coordinates of all 4 atoms:
La 0.0000 0.0000 0.0000  4 Cl 2.83
Cd 0.5000 0.5000 0.5000  4 La 3.58, 8 Cl 3.63-3.93, 2 Cd 3.89
Cl 0.3123 0.3123 0.8121  2 La 2.83
Cl 0.6877 0.6877 0.1879  2 La 2.83

| no. | V (A^3/atom) | size of the total moment (Bohr magnetons per cell) |
| --- | --- | --- |
| 1 | 8.4 | 0.00 |
| 2 | 30.7 | 0.00 |
| 3 | 22.6 | 1.01 |
| 4 | 52.9 | 0.00 |
| 5 | 22.9 | 0.00 |
| 6 | 18.7 | 0.00 |
| 7 | 15.1 | 0.00 |
| 8 | 23.3 | 0.00 |
| 9 | 21.5 | 4.17 |
| 10 | 30.1 | 2.03 |
| 11 | 35.4 | 0.00 |
| 12 | 32.0 | 0.00 |